No. 1
This record from the Alexandria database describes a PBEsol-optimized structure of KAlCl2. The functional is meta-GGA SCAN.

Results
Space group: P4mm
Total magnetization: 0.000 μB per formula unit
Energy above the most stable polymorph in this dataset: 0.000 eV/atom
VASP energy: -9.269 eV/atom

abc: 4.1713 4.1713 6.2397
angles: 90.00 90.00 90.00
Last column: nearest neighbours and their distance in Å.
Element x y z (fractional)
K1 0.0000 0.0000 0.0000  6 Cl 3.10-3.14
Al1 0.5000 0.5000 0.4534  1 Cl 2.39
Cl1 0.0000 0.0000 0.4971  4 Al 2.96, 2 K 3.10-3.14
Cl2 0.5000 0.5000 0.8367  1 Al 2.39


No. 2
This record from the Alexandria database describes a PBEsol-optimized structure of K3AlCl6. The functional is meta-GGA SCAN.

Results
Space group: Fm-3m
Total magnetization: 0.000 μB per formula unit
VASP energy: -10.043 eV/atom

abc: 7.3474 7.3474 7.3474
angles: 60.00 60.00 60.00
Last column: nearest neighbours and their distance in Å.
Element x y z (fractional)
K1 0.0000 0.0000 0.0000  6 Cl 2.88
K2 0.2500 0.2500 0.2500  12 Cl 3.68
K3 0.7500 0.7500 0.7500  12 Cl 3.68
Al1 0.5000 0.5000 0.5000  6 Cl 2.31
Cl1 0.2774 0.2774 0.7226  1 Al 2.31
Cl2 0.2774 0.7226 0.2774  1 Al 2.31
Cl3 0.2774 0.7226 0.7226  1 Al 2.31
Cl4 0.7226 0.2774 0.2774  1 Al 2.31
Cl5 0.7226 0.2774 0.7226  1 Al 2.31
Cl6 0.7226 0.7226 0.2774  1 Al 2.31


No. 3
This record from the Alexandria database describes a PBEsol-optimized structure of KAlCl4. The functional is meta-GGA SCAN.

Results
Space group: P2_1/c
Total magnetization: 0.001 μB per formula unit
VASP energy: -9.965 eV/atom

abc: 7.1669 9.9328 11.9994
angles: 90.00 126.66 90.00
Last column: nearest neighbours and their distance in Å.
Element x y z (fractional)
K1 0.0595 0.2400 0.2426  8 Cl 3.21-3.28
K2 0.0595 0.2600 0.7426  8 Cl 3.21-3.28
K3 0.9405 0.7400 0.2574  8 Cl 3.21-3.28
K4 0.9405 0.7600 0.7574  8 Cl 3.21-3.28
Al1 0.4351 0.0102 0.6837  4 Cl 2.15-2.16
Al2 0.4351 0.4898 0.1837  4 Cl 2.15-2.16
Al3 0.5649 0.5102 0.8163  4 Cl 2.15-2.16
Al4 0.5649 0.9898 0.3163  4 Cl 2.15-2.16
Cl1 0.1962 0.5486 0.6850  1 Al 2.15
Cl2 0.1962 0.9514 0.1850  1 Al 2.15
Cl3 0.2381 0.1812 0.5575  1 Al 2.15
Cl4 0.2381 0.3188 0.0575  1 Al 2.15
Cl5 0.3219 0.5262 0.3119  1 Al 2.16
Cl6 0.3219 0.9738 0.8119  1 Al 2.16
Cl7 0.3854 0.6627 0.0609  1 Al 2.15
Cl8 0.3854 0.8373 0.5609  1 Al 2.15
Cl9 0.6146 0.1627 0.4391  1 Al 2.15
Cl10 0.6146 0.3373 0.9391  1 Al 2.15
Cl11 0.6781 0.0262 0.1881  1 Al 2.16
Cl12 0.6781 0.4738 0.6881  1 Al 2.16
Cl13 0.7619 0.6812 0.9425  1 Al 2.15
Cl14 0.7619 0.8188 0.4425  1 Al 2.15
Cl15 0.8038 0.0486 0.8150  1 Al 2.15
Cl16 0.8038 0.4514 0.3150  1 Al 2.15